Crystalline ScAl3Co4 at its relaxed geometry. Source: Alexandria via LeMat-Bulk, functional PBE.

Results
E_tot = -50.3 eV per cell

Unit cell a=4.1105 b=4.1105 c=5.9023 alpha=90.00 beta=90.00 gamma=90.00
With the nearest neighbours (Å) after each atom.
Element x y z (fractional)
Sc  0.0000  0.0000  0.0000  8 Co 2.58
Al  0.0000  0.0000  0.5000  8 Co 2.48
Al  0.5000  0.5000  0.0000  8 Co 2.58
Al  0.5000  0.5000  0.5000  8 Co 2.48
Co  0.0000  0.5000  0.2634  6 Al 2.48-2.58, 2 Sc 2.58
Co  0.0000  0.5000  0.7366  6 Al 2.48-2.58, 2 Sc 2.58
Co  0.5000  0.0000  0.2634  6 Al 2.48-2.58, 2 Sc 2.58
Co  0.5000  0.0000  0.7366  6 Al 2.48-2.58, 2 Sc 2.58

=====

Crystalline Mn2AlP at its relaxed geometry. Source: Alexandria via LeMat-Bulk, functional PBE.

Results
E_tot = -28.7 eV per cell

Unit cell a=2.8241 b=2.8241 c=5.7881 alpha=90.00 beta=90.00 gamma=90.00
With the nearest neighbours (Å) after each atom.
Element x y z (fractional)
Mn  0.0000  0.0000  0.2165  4 P 2.36, 1 Mn 2.51, 4 Al 2.58
Mn  0.0000  0.0000  0.7835  4 P 2.36, 1 Mn 2.51, 4 Al 2.58
Al  0.5000  0.5000  0.5000  8 Mn 2.58, 4 Al 2.82, 2 P 2.89
P  0.5000  0.5000  0.0000  8 Mn 2.36

=====

Number 1: total moment 0.00 μB per atom. Number 2: total moment 0.42 μB per atom.